[1]
{"formula": "Fe2NiCl", "functional": "PBE", "state": "optimized geometry", "raw_formation_energy_mev_per_atom": 623, "sg": "I-4m2 (119)", "lattice": [[-3.517, 2.154, -2.516], [-0.125, -0.957, -4.733], [0.284, -2.590, 4.068]], "species": ["Ni", "Fe", "Fe", "Cl"], "frac_coords": [[0.500, 0.500, 0.000], [0.000, 0.000, 0.000], [0.250, 0.750, 0.500], [0.750, 0.250, 0.500]]}

---

[2]
{"formula": "NdGa2Pt4", "functional": "PBE", "state": "optimized geometry", "sg": "Pnma (62)", "formation_energy_ev_per_fu": -5.47, "lattice": [[4.226, 0.000, 0.000], [0.000, 7.290, 0.000], [0.000, 0.000, 16.567]], "species": ["Nd", "Nd", "Nd", "Nd", "Pt", "Pt", "Pt", "Pt", "Pt", "Pt", "Pt", "Pt", "Pt", "Pt", "Pt", "Pt", "Pt", "Pt", "Pt", "Pt", "Ga", "Ga", "Ga", "Ga", "Ga", "Ga", "Ga", "Ga"], "frac_coords": [[0.750, 0.937, 0.648], [0.250, 0.063, 0.352], [0.250, 0.437, 0.852], [0.750, 0.563, 0.148], [0.250, 0.188, 0.714], [0.750, 0.812, 0.286], [0.750, 0.688, 0.786], [0.250, 0.312, 0.214], [0.250, 0.603, 0.671], [0.750, 0.397, 0.329], [0.750, 0.103, 0.829], [0.250, 0.897, 0.171], [0.250, 0.104, 0.542], [0.750, 0.896, 0.458], [0.750, 0.604, 0.958], [0.250, 0.396, 0.042], [0.250, 0.446, 0.446], [0.750, 0.554, 0.554], [0.750, 0.946, 0.054], [0.250, 0.054, 0.946], [0.250, 0.749, 0.523], [0.750, 0.251, 0.477], [0.750, 0.249, 0.977], [0.250, 0.751, 0.023], [0.250, 0.887, 0.809], [0.750, 0.113, 0.191], [0.750, 0.387, 0.691], [0.250, 0.613, 0.309]]}

---

[3]
{"formula": "SiIrPb2", "functional": "PBE", "state": "optimized geometry", "raw_formation_energy_mev_per_atom": 604, "sg": "F-43m (216)", "lattice": [[-3.220, 2.498, -2.795], [-3.555, -0.846, 3.326], [4.237, 2.126, 1.394]], "species": ["Ir", "Pb", "Pb", "Si"], "frac_coords": [[0.750, 0.250, 0.500], [0.000, 0.000, 0.000], [0.250, 0.750, 0.500], [0.500, 0.500, 0.000]]}

---

[4]
{"formula": "Pr3GaPb", "functional": "PBE", "state": "optimized geometry", "sg": "Cmce (64)", "formation_energy_ev_per_fu": -1.94, "lattice": [[-3.656, 0.940, -8.112], [-3.443, -7.737, 0.656], [-7.167, 2.846, 3.560]], "species": ["Pr", "Pr", "Pr", "Pr", "Pr", "Pr", "Pr", "Pr", "Pr", "Pr", "Pr", "Pr", "Ga", "Ga", "Ga", "Ga", "Pb", "Pb", "Pb", "Pb"], "frac_coords": [[0.584, 0.801, 0.003], [0.916, 0.997, 0.199], [0.416, 0.199, 0.997], [0.084, 0.003, 0.801], [0.835, 0.430, 0.070], [0.665, 0.930, 0.570], [0.165, 0.570, 0.930], [0.335, 0.070, 0.430], [0.584, 0.497, 0.699], [0.916, 0.301, 0.503], [0.416, 0.503, 0.301], [0.084, 0.699, 0.497], [0.861, 0.706, 0.794], [0.639, 0.206, 0.294], [0.139, 0.294, 0.206], [0.361, 0.794, 0.706], [0.250, 0.850, 0.150], [0.750, 0.150, 0.850], [0.250, 0.350, 0.650], [0.750, 0.650, 0.350]]}

---

[5]
{"formula": "GeBiCS2", "functional": "PBE", "state": "optimized geometry", "raw_formation_energy_mev_per_atom": 1099, "sg": "P4/mmm (123)", "lattice": [[-1.936, -1.541, 3.500], [2.574, -4.163, -0.409], [3.095, 1.673, 2.448]], "species": ["S", "S", "C", "Ge", "Bi"], "frac_coords": [[0.000, 0.000, 0.500], [0.500, 0.000, 0.000], [0.000, 0.000, 0.000], [0.500, 0.500, 0.500], [0.000, 0.500, 0.000]]}

---

[6]
{"formula": "HfTePtI2", "functional": "PBE", "state": "optimized geometry", "raw_formation_energy_mev_per_atom": 572, "sg": "P4/mmm (123)", "lattice": [[5.302, 0.000, 0.000], [0.000, 5.302, 0.000], [0.000, 0.000, 5.394]], "species": ["I", "I", "Te", "Hf", "Pt"], "frac_coords": [[0.000, 0.500, 0.000], [0.500, 0.000, 0.000], [0.000, 0.000, 0.500], [0.500, 0.500, 0.500], [0.000, 0.000, 0.000]]}

---

[7]
{"formula": "Nd2CdCu12Ni3", "functional": "PBE", "state": "optimized geometry", "sg": "R-3m (166)", "formation_energy_ev_per_fu": 1.84, "lattice": [[6.253, -1.338, -0.949], [1.925, 6.098, -0.949], [1.925, 1.121, 6.069]], "species": ["Nd", "Nd", "Cd", "Cu", "Cu", "Cu", "Cu", "Cu", "Cu", "Cu", "Cu", "Cu", "Cu", "Cu", "Cu", "Ni", "Ni", "Ni"], "frac_coords": [[0.743, 0.743, 0.743], [0.257, 0.257, 0.257], [0.000, 0.000, 0.000], [0.422, 0.422, 0.850], [0.796, 0.796, 0.289], [0.289, 0.796, 0.796], [0.850, 0.422, 0.422], [0.796, 0.289, 0.796], [0.422, 0.850, 0.422], [0.578, 0.578, 0.150], [0.204, 0.204, 0.711], [0.711, 0.204, 0.204], [0.150, 0.578, 0.578], [0.204, 0.711, 0.204], [0.578, 0.150, 0.578], [0.500, 0.000, 0.000], [0.000, 0.500, 0.000], [0.000, 0.000, 0.500]]}

---

[8]
{"formula": "TlNiTe2I", "functional": "PBE", "state": "optimized geometry", "raw_formation_energy_mev_per_atom": 32, "sg": "P4/mmm (123)", "lattice": [[-3.246, 3.142, 2.388], [1.509, -1.869, 4.510], [4.101, 4.016, 0.292]], "species": ["I", "Ni", "Tl", "Te", "Te"], "frac_coords": [[0.000, 0.000, 0.500], [0.000, 0.000, 0.000], [0.500, 0.500, 0.500], [0.000, 0.500, 0.000], [0.500, 0.000, 0.000]]}

---

[9]
{"formula": "Sc2ReRh", "functional": "PBE", "state": "optimized geometry", "sg": "Pmm2 (25)", "formation_energy_ev_per_fu": -0.60, "lattice": [[-0.773, 0.040, 2.784], [0.823, -4.372, 0.291], [5.138, 1.061, 1.412]], "species": ["Re", "Rh", "Sc", "Sc"], "frac_coords": [[0.000, 0.000, 0.475], [0.500, 0.500, 0.774], [0.000, 0.000, 0.966], [0.500, 0.500, 0.286]]}

---

[10]
{"formula": "Sr2ZnSb3Rh4", "functional": "PBE", "state": "optimized geometry", "raw_formation_energy_mev_per_atom": -684, "sg": "P-4m2 (115)", "lattice": [[-2.619, -1.381, -3.320], [1.752, -4.077, 0.313], [-7.702, -2.754, 7.222]], "species": ["Sr", "Sr", "Zn", "Sb", "Sb", "Sb", "Rh", "Rh", "Rh", "Rh"], "frac_coords": [[0.500, 0.000, 0.257], [0.000, 0.500, 0.743], [0.500, 0.500, 0.500], [0.000, 0.000, 0.500], [0.500, 0.000, 0.866], [0.000, 0.500, 0.134], [0.500, 0.500, 0.000], [0.000, 0.000, 0.000], [0.500, 0.000, 0.626], [0.000, 0.500, 0.374]]}

---

[11]
{"formula": "HoCdCoCu", "functional": "PBE", "state": "optimized geometry", "sg": "F-43m (216)", "formation_energy_ev_per_fu": -0.15, "lattice": [[4.626, 0.000, 0.000], [2.313, 4.006, 0.000], [2.313, 1.335, 3.777]], "species": ["Co", "Ho", "Cu", "Cd"], "frac_coords": [[0.000, 0.000, 0.000], [0.250, 0.250, 0.250], [0.500, 0.500, 0.500], [0.750, 0.750, 0.750]]}

---

[12]
{"formula": "Sm3Tm8Th3", "functional": "PBE", "state": "optimized geometry", "sg": "Immm (71)", "formation_energy_ev_per_fu": 2.14, "lattice": [[5.480, -0.001, 1.100], [2.700, 9.177, 0.742], [1.041, -3.165, 8.998]], "species": ["Sm", "Sm", "Sm", "Tm", "Tm", "Tm", "Tm", "Tm", "Tm", "Tm", "Tm", "Th", "Th", "Th"], "frac_coords": [[0.500, 0.500, 0.500], [0.806, 0.193, 0.193], [0.194, 0.807, 0.807], [0.658, 0.118, 0.566], [0.342, 0.882, 0.434], [0.658, 0.566, 0.118], [0.342, 0.434, 0.882], [0.841, 0.762, 0.555], [0.159, 0.238, 0.445], [0.841, 0.555, 0.762], [0.159, 0.445, 0.238], [0.500, 0.000, 0.000], [0.000, 0.814, 0.186], [0.000, 0.186, 0.814]]}